This record from Alexandria via LeMat-Bulk describes a geometry-optimized BaFeAg2 structure. The functional is PBE-GGA.

Calculated values
Offset from the most stable computed form, meV/atom: 0
DFT total energy, eV/cell: -15.293

Unit cell a=4.6271 b=4.6271 c=6.3400 alpha=68.63 beta=68.63 gamma=59.98
Fractional positions:
Ag  0.0551  0.0551  0.8349
Ag  0.4449  0.4449  0.6651
Ba  0.2500  0.2500  0.2500
Fe  0.7500  0.7500  0.7500

=====

This record from Alexandria via LeMat-Bulk describes a geometry-optimized PuTi2Pt structure. The functional is PBE-GGA.

Calculated values
Offset from the most stable computed form, meV/atom: 0
DFT total energy, eV/cell: -37.738

Unit cell a=3.0093 b=4.7665 c=4.7665 alpha=90.00 beta=90.00 gamma=90.00
Fractional positions:
Pt  0.5000  0.5000  0.5000
Pu  0.5000  0.0000  0.0000
Ti  0.0000  0.5000  0.0000
Ti  0.0000  0.0000  0.5000

=====

This record from Alexandria via LeMat-Bulk describes a geometry-optimized Ta2CrCl structure. The functional is PBE-GGA.

Calculated values
E_form (uncorrected), eV/atom: 0.79
Offset from the most stable computed form, meV/atom: 811
DFT total energy, eV/cell: -32.021

Unit cell a=4.4925 b=4.4925 c=4.4925 alpha=60.00 beta=60.00 gamma=60.00
Fractional positions:
Ta  0.7500  0.7500  0.7500
Ta  0.2500  0.2500  0.2500
Cl  0.0000  0.0000  0.0000
Cr  0.5000  0.5000  0.5000

=====

This record from Alexandria via LeMat-Bulk describes a geometry-optimized BaHgOs2 structure. The functional is PBE-GGA.

Calculated values
DFT total energy, eV/cell: -42.604

Unit cell a=4.7722 b=4.7722 c=10.3506 alpha=76.67 beta=76.67 gamma=90.00
Fractional positions:
Os  0.3750  0.1745  0.7500
Hg  0.0000  0.0000  0.0000
Hg  0.7500  0.2500  0.5000
Ba  0.2500  0.7500  0.5000
Os  0.8750  0.0755  0.7500
Os  0.9245  0.6250  0.2500
Os  0.8255  0.1250  0.2500
Ba  0.5000  0.5000  0.0000

=====

This record from Alexandria via LeMat-Bulk describes a geometry-optimized La2Tb2Tm structure. The functional is PBE-GGA.

Calculated values
Offset from the most stable computed form, meV/atom: 94
DFT total energy, eV/cell: -45.869

Unit cell a=5.7140 b=3.5690 c=16.7891 alpha=96.10 beta=99.80 gamma=90.00
Fractional positions:
Tm  0.1771  0.4271  0.3543
Tb  0.3667  0.1167  0.7333
La  0.5421  0.2921  0.0842
La  0.4579  0.7079  0.9158
La  0.0645  0.8145  0.1289
Tb  0.6333  0.8833  0.2667
La  0.9355  0.1855  0.8711
Tm  0.8229  0.5729  0.6457
Tb  0.7289  0.9789  0.4577
Tb  0.2711  0.0211  0.5423

=====

This record from Alexandria via LeMat-Bulk describes a geometry-optimized ScCd2FePb structure. The functional is PBE-GGA.

Calculated values
DFT total energy, eV/cell: -17.961

Unit cell a=4.8194 b=4.8213 c=4.8194 alpha=90.00 beta=90.00 gamma=90.00
Fractional positions:
Sc  0.5000  0.5000  0.5000
Fe  0.0000  0.0000  0.0000
Pb  0.0000  0.5000  0.0000
Cd  0.0000  0.0000  0.5000
Cd  0.5000  0.0000  0.0000

=====

This record from Alexandria via LeMat-Bulk describes a geometry-optimized Sr2CeDyAs4 structure. The functional is PBE-GGA.

Calculated values
DFT total energy, eV/cell: -42.405

Unit cell a=4.3038 b=7.4300 c=7.5610 alpha=109.30 beta=90.00 gamma=90.00
Fractional positions:
Ce  0.0000  0.0000  0.0000
As  0.5000  0.2399  0.2206
Sr  0.5000  0.0000  0.5000
As  0.0000  0.2595  0.7782
As  0.0000  0.7405  0.2218
Sr  0.0000  0.5000  0.5000
As  0.5000  0.7601  0.7794
Dy  0.5000  0.5000  0.0000

=====

This record from Alexandria via LeMat-Bulk describes a geometry-optimized AlBiPd3 structure. The functional is PBE-GGA.

Calculated values
Offset from the most stable computed form, meV/atom: 0
DFT total energy, eV/cell: -23.805

Unit cell a=4.6498 b=4.6498 c=4.6498 alpha=90.00 beta=90.00 gamma=90.00
Fractional positions:
Pd  0.0000  0.5000  0.0000
Bi  0.5000  0.5000  0.5000
Pd  0.5000  0.0000  0.0000
Pd  0.0000  0.0000  0.5000
Al  0.0000  0.0000  0.0000

=====

This record from Alexandria via LeMat-Bulk describes a geometry-optimized AcPrPbCl structure. The functional is PBE-GGA.

Calculated values
E_form (uncorrected), eV/atom: -0.94
DFT total energy, eV/cell: -18.184

Unit cell a=5.5824 b=5.5824 c=5.5824 alpha=60.00 beta=60.00 gamma=60.00
Fractional positions:
Pb  0.2500  0.2500  0.2500
Cl  0.7500  0.7500  0.7500
Ac  0.5000  0.5000  0.5000
Pr  0.0000  0.0000  0.0000

=====

This record from Alexandria via LeMat-Bulk describes a geometry-optimized ScTeRh structure. The functional is PBE-GGA.

Calculated values
E_form (uncorrected), eV/atom: -0.40
DFT total energy, eV/cell: -18.025

Unit cell a=3.3815 b=3.3815 c=6.3830 alpha=90.00 beta=90.00 gamma=120.00
Fractional positions:
Te  0.3333  0.6667  0.6747
Rh  0.0000  0.0000  0.0257
Sc  0.6667  0.3333  0.2996

=====

This record from Alexandria via LeMat-Bulk describes a geometry-optimized Na2ZnGa3Au4 structure. The functional is PBE-GGA.

Calculated values
DFT total energy, eV/cell: -29.109

Unit cell a=4.4596 b=4.4596 c=10.6554 alpha=90.00 beta=90.00 gamma=90.00
Fractional positions:
Zn  0.5000  0.5000  0.5000
Au  0.5000  0.5000  0.0000
Ga  0.0000  0.5000  0.1293
Au  0.5000  0.0000  0.6330
Na  0.0000  0.5000  0.7544
Na  0.5000  0.0000  0.2456
Ga  0.0000  0.0000  0.5000
Au  0.0000  0.5000  0.3670
Ga  0.5000  0.0000  0.8707
Au  0.0000  0.0000  0.0000

=====

This record from Alexandria via LeMat-Bulk describes a geometry-optimized Th4SiTcSe2 structure. The functional is PBE-GGA.

Calculated values
E_form (uncorrected), eV/atom: -0.96
DFT total energy, eV/cell: -60.142

Unit cell a=4.1611 b=7.3851 c=7.4620 alpha=108.19 beta=90.00 gamma=90.00
Fractional positions:
Se  0.5000  0.0000  0.5000
Th  0.0000  0.7552  0.2253
Th  0.5000  0.7689  0.7780
Se  0.0000  0.5000  0.5000
Th  0.0000  0.2448  0.7747
Th  0.5000  0.2311  0.2220
Tc  0.0000  0.0000  0.0000
Si  0.5000  0.5000  0.0000

=====

This record from Alexandria via LeMat-Bulk describes a geometry-optimized InC4 structure. The functional is PBE-GGA.

Calculated values
Offset from the most stable computed form, meV/atom: 618
DFT total energy, eV/cell: -30.563

Unit cell a=4.8147 b=4.8147 c=4.8147 alpha=106.74 beta=106.74 gamma=115.08
Fractional positions:
In  0.0000  0.0000  0.0000
C  0.0000  0.3897  0.3897
C  0.6103  0.0000  0.6103
C  0.0000  0.6103  0.6103
C  0.3897  0.0000  0.3897

=====

This record from Alexandria via LeMat-Bulk describes a geometry-optimized Te2IrCl2 structure. The functional is PBE-GGA.

Calculated values
E_form (uncorrected), eV/atom: 0.99
Offset from the most stable computed form, meV/atom: 80
DFT total energy, eV/cell: -13.882

Unit cell a=3.9634 b=3.9634 c=10.7330 alpha=79.36 beta=79.36 gamma=90.00
Fractional positions:
Te  0.7500  0.2500  0.5000
Cl  0.5724  0.5724  0.8552
Cl  0.4276  0.4276  0.1448
Te  0.2500  0.7500  0.5000
Ir  0.0000  0.0000  0.0000

=====

This record from Alexandria via LeMat-Bulk describes a geometry-optimized MgTc2Sb structure. The functional is PBE-GGA.

Calculated values
E_form (uncorrected), eV/atom: 0.28
Offset from the most stable computed form, meV/atom: 237
DFT total energy, eV/cell: -25.311

Unit cell a=4.5604 b=4.5604 c=4.5604 alpha=60.00 beta=60.00 gamma=60.00
Fractional positions:
Mg  0.5000  0.5000  0.5000
Sb  0.2500  0.2500  0.2500
Tc  0.0000  0.0000  0.0000
Tc  0.7500  0.7500  0.7500

=====

This record from Alexandria via LeMat-Bulk describes a geometry-optimized Pm8Ni3CBr3 structure. The functional is PBE-GGA.

Calculated values
E_form (uncorrected), eV/atom: -0.61
DFT total energy, eV/cell: -78.711

Unit cell a=8.0486 b=8.0222 c=8.7870 alpha=117.13 beta=90.00 gamma=120.11
Fractional positions:
Br  0.5000  0.5000  0.0000
Pm  0.7494  0.9686  0.6886
Ni  0.5000  0.0000  0.5000
Pm  0.2192  0.9686  0.6886
Br  0.0000  0.5000  0.0000
Pm  0.2687  0.5374  0.3057
C  0.0000  0.0000  0.5000
Ni  0.0000  0.5000  0.5000
Pm  0.2506  0.0314  0.3114
Pm  0.7313  0.4626  0.6943
Ni  0.5000  0.5000  0.5000
Pm  0.7802  0.5604  0.3106
Pm  0.2198  0.4396  0.6894
Pm  0.7808  0.0314  0.3114
Br  0.0000  0.0000  0.0000

=====

This record from Alexandria via LeMat-Bulk describes a geometry-optimized V2PS2 structure. The functional is PBE-GGA.

Calculated values
E_form (uncorrected), eV/atom: -0.29
Offset from the most stable computed form, meV/atom: 0
DFT total energy, eV/cell: -33.347

Unit cell a=4.2676 b=4.2676 c=5.1596 alpha=65.57 beta=65.57 gamma=90.00
Fractional positions:
V  0.7500  0.2500  0.5000
S  0.6457  0.6457  0.7087
P  0.0000  0.0000  0.0000
S  0.3543  0.3543  0.2913
V  0.2500  0.7500  0.5000

=====

This record from Alexandria via LeMat-Bulk describes a geometry-optimized Hf2GaMoH structure. The functional is PBE-GGA.

Calculated values
DFT total energy, eV/cell: -38.634

Unit cell a=4.5584 b=4.5584 c=3.6485 alpha=90.00 beta=90.00 gamma=90.00
Fractional positions:
Ga  0.5000  0.5000  0.5000
Hf  0.5000  0.0000  0.0000
Mo  0.0000  0.0000  0.5000
Hf  0.0000  0.5000  0.0000
H  0.0000  0.0000  0.0000

=====

This record from Alexandria via LeMat-Bulk describes a geometry-optimized Pm5Sm2Tm structure. The functional is PBE-GGA.

Calculated values
Offset from the most stable computed form, meV/atom: 54
DFT total energy, eV/cell: -148.418

Unit cell a=6.1689 b=11.7656 c=15.9333 alpha=69.13 beta=90.00 gamma=90.00
Fractional positions:
Sm  0.0710  0.3725  0.2457
Pm  0.4704  0.5608  0.8787
Pm  0.9704  0.4392  0.6213
Tm  0.5000  0.0000  0.5000
Pm  0.0296  0.5608  0.3787
Pm  0.4312  0.1242  0.2546
Pm  0.3777  0.2494  0.0011
Pm  0.1070  0.6898  0.1249
Tm  0.0000  0.0000  0.0000
Sm  0.5297  0.0624  0.8798
Tm  0.5000  0.5000  0.5000
Tm  0.0000  0.5000  0.0000
Pm  0.8930  0.3102  0.8751
Sm  0.9703  0.0624  0.3798
Sm  0.9290  0.6275  0.7543
Pm  0.5296  0.4392  0.1213
Sm  0.4703  0.9376  0.1202
Pm  0.8904  0.1915  0.1234
Pm  0.6070  0.3102  0.3751
Pm  0.1096  0.8085  0.8766
Pm  0.6096  0.1915  0.6234
Sm  0.4290  0.3725  0.7457
Pm  0.3904  0.8085  0.3766
Sm  0.0297  0.9376  0.6202
Pm  0.6223  0.7506  0.9989
Pm  0.5688  0.8758  0.7454
Pm  0.8777  0.7506  0.4989
Pm  0.1223  0.2494  0.5011
Pm  0.3930  0.6898  0.6249
Pm  0.9312  0.8758  0.2454
Sm  0.5710  0.6275  0.2543
Pm  0.0688  0.1242  0.7546

=====

This record from Alexandria via LeMat-Bulk describes a geometry-optimized Mn2AgTe structure. The functional is PBE-GGA.

Calculated values
E_form (uncorrected), eV/atom: 0.56
DFT total energy, eV/cell: -22.111

Unit cell a=4.8022 b=4.8022 c=4.8022 alpha=60.00 beta=60.00 gamma=60.00
Fractional positions:
Mn  0.7500  0.7500  0.7500
Mn  0.0000  0.0000  0.0000
Ag  0.5000  0.5000  0.5000
Te  0.2500  0.2500  0.2500